[1]
Density functional theory data (meta-GGA SCAN) for a crystal of CuTcRh2 relaxed with PBEsol.

For the calculated total energy, the calculation gives -117.9 eV per formula unit. The space group is R-3m (166). Its formation enthalpy at 0 K is -0.04 eV per atom. For the distance to the lowest polymorph of the same formula, the calculation gives 35.1 meV/atom. As for the density of states at the Fermi level: 0.80 states/eV/atom. The value obtained for the mass density is 11.554 g/cm3. The volume comes out at 13.200 Å³/atom.

a = 2.6722 Å, b = 2.6722 Å, c = 8.6761 Å
α = 81.14°, β = 81.14°, γ = 60.00°
Sites, in units of the cell vectors:
Rh1 0.2501 0.2501 0.2498
Rh2 0.7499 0.7499 0.7502
Tc1 0.5000 0.5000 0.5000
Cu1 0.0000 0.0000 0.0000

***

[2]
Density functional theory data (meta-GGA SCAN) for a crystal of CaYZr2 relaxed with PBEsol.

For the calculated total energy, the calculation gives -97.7 eV per formula unit. The space group is R-3m (166). Its formation enthalpy at 0 K is 0.30 eV per atom. For the distance to the lowest polymorph of the same formula, the calculation gives 0.0 meV/atom. As for the density of states at the Fermi level: 1.16 states/eV/atom. The value obtained for the mass density is 4.919 g/cm3. The volume comes out at 26.282 Å³/atom.

a = 3.2922 Å, b = 3.2922 Å, c = 11.3601 Å
α = 81.67°, β = 81.67°, γ = 60.00°
Sites, in units of the cell vectors:
Y1 0.0000 0.0000 0.0000
Ca1 0.5000 0.5000 0.5000
Zr1 0.2540 0.2540 0.2381
Zr2 0.7460 0.7460 0.7619

***

[3]
Density functional theory data (meta-GGA SCAN) for a crystal of Zr2CdHgRu relaxed with PBEsol.

For the calculated total energy, the calculation gives -193.8 eV per formula unit. The space group is P4/mmm (123). Its formation enthalpy at 0 K is 0.21 eV per atom. As for the density of states at the Fermi level: 0.74 states/eV/atom. The value obtained for the mass density is 8.186 g/cm3. The volume comes out at 24.202 Å³/atom.

a = 4.8418 Å, b = 4.8418 Å, c = 5.1619 Å
α = 90.00°, β = 90.00°, γ = 90.00°
Sites, in units of the cell vectors:
Ru1 0.0000 0.0000 0.0000
Hg1 0.0000 0.0000 0.5000
Zr1 0.0000 0.5000 0.0000
Zr2 0.5000 0.0000 0.0000
Cd1 0.5000 0.5000 0.5000

***

[4]
Density functional theory data (meta-GGA SCAN) for a crystal of ScZn2Os relaxed with PBEsol.

For the calculated total energy, the calculation gives -114.0 eV per formula unit. The space group is P4/mmm (123). Its formation enthalpy at 0 K is -0.22 eV per atom. For the distance to the lowest polymorph of the same formula, the calculation gives 142.6 meV/atom. As for the density of states at the Fermi level: 0.55 states/eV/atom. The value obtained for the mass density is 10.173 g/cm3. The volume comes out at 14.936 Å³/atom.

a = 3.7948 Å, b = 3.7965 Å, c = 4.1468 Å
α = 90.00°, β = 90.00°, γ = 90.00°
Sites, in units of the cell vectors:
Os1 0.5000 0.0000 0.5000
Sc1 0.0000 0.5000 0.5000
Zn1 0.0000 0.0000 0.0000
Zn2 0.5000 0.5000 0.0000